# 1
{
  "formula": "InIrNF2",
  "functional": "PBE-GGA",
  "state": "optimized geometry",
  "cell": [[4.569, 0.000, 0.000], [0.000, 4.569, 0.000], [0.000, 0.000, 3.709]],
  "species": ["F", "F", "Ir", "N", "In"],
  "frac_coords": [[0.000, 0.500, 0.000], [0.500, 0.000, 0.000], [0.000, 0.000, 0.000], [0.000, 0.000, 0.500], [0.500, 0.500, 0.500]],
  "crystal_system": "tetragonal",
  "formation_energy_uncorrected_ev_per_atom": -0.50,
  "spacegroup": "P4/mmm (123)"
}

***

# 2
{
  "formula": "Cs2BeO",
  "functional": "PBE-GGA",
  "state": "optimized geometry",
  "cell": [[-1.812, 7.207, -4.944], [-6.395, -4.535, -4.266], [-6.527, 2.425, -2.130]],
  "species": ["Cs", "O", "O", "Be", "Cs", "Cs", "Cs", "Be"],
  "frac_coords": [[0.031, 0.625, 0.250], [0.000, 0.000, 0.000], [0.750, 0.250, 0.500], [0.250, 0.750, 0.500], [0.875, 0.969, 0.750], [0.375, 0.281, 0.750], [0.719, 0.125, 0.250], [0.500, 0.500, 0.000]],
  "crystal_system": "tetragonal",
  "formation_energy_uncorrected_ev_per_atom": 0.19,
  "spacegroup": "I-42d (122)"
}

***

# 3
{
  "formula": "CaY2In",
  "functional": "PBE-GGA",
  "state": "optimized geometry",
  "cell": [[4.687, 0.000, 0.000], [0.000, 4.687, 0.000], [2.343, 2.343, 11.777]],
  "species": ["Y", "Y", "In", "Y", "Ca", "Ca", "Y", "In"],
  "frac_coords": [[0.646, 0.125, 0.250], [0.875, 0.896, 0.750], [0.750, 0.250, 0.500], [0.104, 0.625, 0.250], [0.500, 0.500, 0.000], [0.250, 0.750, 0.500], [0.375, 0.354, 0.750], [0.000, 0.000, 0.000]],
  "crystal_system": "tetragonal",
  "spacegroup": "I-42d (122)",
  "e_form_ev_per_atom": 0.15
}

***

no.,theoretical density (g/cm3),calculated volume (Å³/atom)
1,7.70,15.48
2,3.34,36.16
3,4.27,32.34